Entry 1:
The following is a DFT calculation (GGA-PBE) of a relaxed structure of SrOsO2.

```
SrOsO2
1.0
2.020 0.000 5.810
-1.010 1.749 5.810
-1.010 -1.749 5.810
Os O Sr
1 2 1
Cartesian
0.000 0.000 8.716
0.000 0.000 2.302
0.000 0.000 15.129
0.000 0.000 0.000
```

Electronic total energy   -25.665 eV/cell
N(E_F)   3.70 states/eV/cell
Magnetization   0.000 μB/atom
Formation energy without anion corrections   -0.71 eV/atom
ΔE to the lowest computed polymorph   0.444 eV/atom



Entry 2:
The following is a DFT calculation (GGA-PBE) of a relaxed structure of Cd2CuRu.

```
Cd2CuRu
1.0
-3.716 -0.661 1.074
1.256 -1.622 3.345
-1.519 7.375 6.448
Cd Cu Ru
4 2 2
Cartesian
-3.294 3.537 8.698
-2.539 1.229 2.700
-0.066 0.746 3.839
-2.060 4.673 6.499
-1.230 -1.141 2.210
-0.747 2.306 6.002
-3.232 2.787 4.866
0.000 0.000 0.000
```

DFT formation energy   0.61 eV per atom
Electronic total energy   -25.544 eV/cell
N(E_F)   4.54 states/eV/cell
Magnetization   0.082 μB/atom
ΔE to the lowest computed polymorph   0.399 eV/atom



Entry 3:
The following is a DFT calculation (GGA-PBE) of a relaxed structure of MnB2Ru.

```
MnB2Ru
1.0
0.000 2.620 2.620
2.620 0.000 2.620
2.620 2.620 0.000
B Mn Ru
2 1 1
Cartesian
3.929 3.929 3.929
1.310 1.310 1.310
0.000 0.000 0.000
2.620 2.620 2.620
```

DFT formation energy   0.07 eV per atom
Electronic total energy   -31.504 eV/cell
N(E_F)   4.06 states/eV/cell
Magnetization   0.000 μB/atom
ΔE to the lowest computed polymorph   0.000 eV/atom



Entry 4:
The following is a DFT calculation (GGA-PBE) of a relaxed structure of Mo4PtC.

```
Mo4PtC
1.0
5.801 -0.128 0.000
-0.865 5.829 0.000
-2.468 -2.850 5.477
Mo Pt C
8 2 2
Cartesian
0.158 -1.243 2.341
-2.671 1.976 5.000
2.698 4.762 0.478
5.138 0.874 0.478
-0.230 -1.912 5.000
-0.275 1.672 3.137
2.310 4.093 3.137
2.742 1.178 2.341
1.018 2.882 1.050
1.450 -0.032 4.427
4.351 -0.096 2.359
-1.883 2.947 3.118
```

DFT formation energy   0.25 eV per atom
Electronic total energy   -114.178 eV/cell
N(E_F)   9.57 states/eV/cell
Magnetization   0.000 μB/atom



Entry 5:
The following is a DFT calculation (GGA-PBE) of a relaxed structure of Ta3ZnCo.

```
Ta3ZnCo
1.0
4.575 0.000 0.000
0.000 4.575 0.000
0.000 0.000 4.575
Ta Zn Co
3 1 1
Cartesian
0.000 2.287 0.000
0.000 0.000 2.287
2.287 0.000 0.000
2.287 2.287 2.287
0.000 0.000 0.000
```

DFT formation energy   0.75 eV per atom
Electronic total energy   -40.210 eV/cell
N(E_F)   3.94 states/eV/cell
Magnetization   0.000 μB/atom
ΔE to the lowest computed polymorph   0.000 eV/atom



Entry 6:
The following is a DFT calculation (GGA-PBE) of a relaxed structure of Pr2AlZn5.

```
Pr2AlZn5
1.0
6.178 0.079 0.112
-2.973 5.416 -0.112
-2.973 -1.948 5.055
Zn Al Pr
5 1 2
Cartesian
1.813 1.088 1.551
-3.028 0.230 3.595
-1.482 0.864 1.232
-3.028 3.303 1.439
-1.691 2.523 3.595
-5.426 3.165 4.510
0.046 -0.027 3.877
0.046 3.655 1.294
```

DFT formation energy   -0.19 eV per atom
Electronic total energy   -21.191 eV/cell
N(E_F)   6.41 states/eV/cell
Magnetization   0.000 μB/atom
ΔE to the lowest computed polymorph   0.165 eV/atom



Entry 7:
The following is a DFT calculation (GGA-PBE) of a relaxed structure of Sc4ZnCd.

```
Sc4ZnCd
1.0
-0.423 -1.067 5.689
-4.478 2.118 3.025
-4.115 -3.580 1.983
Sc Zn Cd
4 1 1
Cartesian
-5.619 0.109 5.524
-3.382 -0.949 4.013
-5.438 -2.737 5.003
-3.593 -1.481 6.855
-6.762 -1.897 8.023
0.000 0.000 0.000
```

DFT formation energy   0.27 eV per atom
Electronic total energy   -25.893 eV/cell
N(E_F)   5.69 states/eV/cell
Magnetization   0.000 μB/atom
ΔE to the lowest computed polymorph   0.472 eV/atom



Entry 8:
The following is a DFT calculation (GGA-PBE) of a relaxed structure of Ac4Si2Ag5.

```
Ac4Si2Ag5
1.0
4.503 0.000 0.000
0.000 7.615 0.244
0.000 -0.454 8.819
Ag Si Ac
5 2 4
Cartesian
0.000 4.201 3.214
0.000 6.201 7.901
0.000 3.807 0.122
0.000 0.960 1.163
0.000 2.960 5.849
0.000 0.230 5.510
0.000 6.931 3.553
2.252 5.903 1.438
2.252 1.677 3.566
2.252 1.258 7.625
2.252 5.484 5.497
```

Electronic total energy   -45.272 eV/cell
N(E_F)   9.26 states/eV/cell
Magnetization   0.000 μB/atom
Formation energy without anion corrections   -0.34 eV/atom



Entry 9:
The following is a DFT calculation (GGA-PBE) of a relaxed structure of Tl2P2H5.

```
Tl2P2H5
1.0
5.710 0.000 -1.557
-2.432 18.165 -8.741
-0.924 -7.352 7.759
Tl H P
4 10 4
Cartesian
1.067 0.848 2.830
2.140 9.944 -2.174
4.673 -5.166 4.099
-0.268 3.919 0.742
-0.544 7.304 -0.111
4.364 -1.527 2.505
-0.754 7.571 -0.782
2.167 6.210 -1.352
-1.265 -1.715 4.786
3.218 -0.106 0.405
1.549 -3.514 3.861
-0.933 8.982 -3.159
1.511 -2.845 3.518
2.310 5.551 -1.017
2.384 2.610 0.717
-0.080 11.705 -3.324
2.275 0.681 -0.358
-0.520 9.769 -4.300
```

Electronic total energy   -63.600 eV/cell
N(E_F)   1.65 states/eV/cell
Magnetization   0.000 μB/atom



Entry 10:
The following is a DFT calculation (GGA-PBE) of a relaxed structure of BaTl2In.

```
BaTl2In
1.0
-0.784 1.824 4.955
-4.747 -2.437 0.146
1.906 -9.167 6.551
Ba Tl In
2 4 2
Cartesian
-0.822 -3.824 7.028
0.000 0.000 0.000
-2.665 -3.409 2.831
-0.531 -1.634 4.270
-1.107 -7.342 6.841
-2.947 -7.174 9.362
-2.765 -0.306 2.550
-2.803 -5.955 4.624
```

DFT formation energy   -0.13 eV per atom
Electronic total energy   -19.854 eV/cell
N(E_F)   3.04 states/eV/cell
Magnetization   0.000 μB/atom



Entry 11:
The following is a DFT calculation (GGA-PBE) of a relaxed structure of PuBi2Rh.

```
PuBi2Rh
1.0
-2.089 -2.273 1.621
-1.666 -2.452 -1.836
6.782 -8.019 1.247
Pu Bi Rh
1 2 1
Cartesian
0.000 0.000 0.000
-1.238 -6.744 0.198
4.265 -6.000 0.834
1.513 -6.372 0.516
```

DFT formation energy   0.10 eV per atom
Electronic total energy   -29.061 eV/cell
N(E_F)   10.96 states/eV/cell
Magnetization   1.576 μB/atom



Entry 12:
The following is a DFT calculation (GGA-PBE) of a relaxed structure of Ca2Zn3InGa4.

```
Ca2Zn3InGa4
1.0
-1.953 2.337 -3.045
-1.529 -3.607 -1.787
-9.114 0.701 6.384
Zn Ca Ga In
3 2 4 1
Cartesian
-1.964 -1.711 -0.053
-4.557 0.351 3.192
-8.891 1.777 4.021
-7.691 -1.270 3.958
-3.164 1.337 0.010
-1.741 -0.635 -2.416
0.000 0.000 0.000
-3.961 -1.558 1.345
-6.895 1.624 2.623
-6.298 -0.284 0.776
```

DFT formation energy   -0.32 eV per atom
Electronic total energy   -25.855 eV/cell
N(E_F)   3.71 states/eV/cell
Magnetization   0.000 μB/atom



Entry 13:
The following is a DFT calculation (GGA-PBE) of a relaxed structure of Be2ZnAgRh.

```
Be2ZnAgRh
1.0
-3.050 -1.944 2.096
-1.591 -1.873 -4.052
2.490 -3.312 0.553
Rh Be Zn Ag
1 2 1 1
Cartesian
0.000 0.000 0.000
-1.525 -0.972 1.048
1.245 -1.656 0.277
-0.795 -0.937 -2.026
-1.075 -3.564 -0.702
```

DFT formation energy   0.36 eV per atom
Electronic total energy   -17.112 eV/cell
N(E_F)   1.49 states/eV/cell
Magnetization   0.000 μB/atom